# GGA-PBE NaNb2Tl, optimized geometry
data_NaNb2Tl
_chemical_formula_sum 'Na4 Nb8 Tl4'
_space_group_name_H-M_alt 'F -4 3 m'
_space_group_IT_number 216
_space_group_name_Hall 'F -4 2 3'
_cell_length_a 6.873
_cell_length_b 6.873
_cell_length_c 6.873
_cell_angle_alpha 90.00
_cell_angle_beta 90.00
_cell_angle_gamma 90.00
loop_
_atom_site_label
_atom_site_fract_x
_atom_site_fract_y
_atom_site_fract_z
_atom_site_occupancy
Na1 0.000 0.000 0.000 1
Nb1 0.000 0.000 0.500 1
Nb2 0.250 0.250 0.250 1
Tl1 0.250 0.250 0.750 1
# E   -83.53 eV per cell
# Volume   20.29 A^3/atom